[1]
Material: Pm6MgGa2
Method: DFT, PBE
State: optimized geometry

## Properties
The calculation puts the energy of formation at -2.41 eV per formula unit. As for the spin magnetization: 0.00 μB/f.u. As for the space group: Immm, No. 71.

Cell and atoms, written as POSCAR:
```
Pm6MgGa2
1.0
8.330 0.001 -3.140
-4.361 7.358 -2.471
-0.188 -0.001 8.901
Pm Ga Mg
12 4 2
Direct
0.206 0.758 0.964
0.707 0.387 0.680
0.206 0.242 0.448
0.707 0.027 0.320
0.457 0.277 0.181
0.794 0.758 0.552
0.543 0.723 0.819
0.293 0.973 0.680
0.096 0.277 0.819
0.794 0.242 0.036
0.904 0.723 0.181
0.293 0.613 0.320
0.643 0.000 0.643
0.357 0.000 0.357
0.500 0.620 0.120
0.500 0.380 0.880
0.000 0.000 0.000
0.000 0.500 0.500
```

---

[2]
Material: PmPrMgGa
Method: DFT, PBE
State: optimized geometry

## Properties
The calculation puts the energy of formation at -1.33 eV per formula unit. As for the spin magnetization: 0.00 μB/f.u. As for the space group: F-43m, No. 216.

Cell and atoms, written as POSCAR:
```
PmPrMgGa
1.0
5.336 0.000 0.000
2.668 4.621 0.000
2.668 1.540 4.357
Pr Pm Ga Mg
1 1 1 1
Direct
0.500 0.500 0.500
0.000 0.000 0.000
0.250 0.250 0.250
0.750 0.750 0.750
```

---

[3]
Material: PmMgGaPt2
Method: DFT, PBE
State: optimized geometry

## Properties
The calculation puts the energy of formation at -4.67 eV per formula unit. As for the spin magnetization: 0.00 μB/f.u. As for the space group: I-4m2, No. 119.

Cell and atoms, written as POSCAR:
```
PmMgGaPt2
1.0
-0.006 -3.775 1.415
2.516 1.103 2.951
-6.062 2.690 1.408
Pt Mg Ga Pm
2 1 1 1
Direct
0.389 0.389 0.779
0.611 0.611 0.221
0.750 0.250 0.500
0.250 0.750 0.500
0.000 0.000 0.000
```

---

[4]
Material: PmMgGa2Pt2
Method: DFT, PBE
State: optimized geometry

## Properties
The calculation puts the energy of formation at -5.42 eV per formula unit. As for the spin magnetization: 0.00 μB/f.u. As for the space group: P-3m1, No. 164.

Cell and atoms, written as POSCAR:
```
PmMgGa2Pt2
1.0
4.426 0.000 0.000
-2.213 3.833 0.000
0.000 0.000 6.757
Ga Pt Pm Mg
2 2 1 1
Direct
0.667 0.333 0.703
0.333 0.667 0.297
0.333 0.667 0.713
0.667 0.333 0.287
0.000 0.000 0.000
0.000 0.000 0.500
```

---

[5]
Material: Pm2MgGa3Pt4
Method: DFT, PBE
State: optimized geometry

## Properties
The calculation puts the energy of formation at -9.53 eV per formula unit. As for the spin magnetization: 0.00 μB/f.u. As for the space group: P-4m2, No. 115.

Cell and atoms, written as POSCAR:
```
Pm2MgGa3Pt4
1.0
4.123 0.000 0.000
0.000 4.123 0.000
0.000 0.000 11.435
Pt Pm Ga Mg
4 2 3 1
Direct
0.500 0.000 0.649
0.000 0.500 0.351
0.500 0.500 0.000
0.000 0.000 0.000
0.000 0.500 0.758
0.500 0.000 0.242
0.000 0.000 0.500
0.000 0.500 0.131
0.500 0.000 0.869
0.500 0.500 0.500
```

---

[6]
Material: Pm2MgGa4Pt3
Method: DFT, PBE
State: optimized geometry

## Properties
The calculation puts the energy of formation at -8.72 eV per formula unit. As for the spin magnetization: 0.00 μB/f.u. As for the space group: P-4m2, No. 115.

Cell and atoms, written as POSCAR:
```
Pm2MgGa4Pt3
1.0
4.235 0.000 0.000
0.000 4.235 0.000
0.000 0.000 11.009
Mg Pt Pm Ga
1 3 2 4
Direct
0.500 0.500 0.500
0.500 0.000 0.869
0.000 0.500 0.131
0.000 0.000 0.500
0.500 0.000 0.236
0.000 0.500 0.764
0.500 0.500 0.000
0.000 0.000 0.000
0.500 0.000 0.645
0.000 0.500 0.355
```

---

[7]
Material: PmMgGaPt3
Method: DFT, PBE
State: optimized geometry

## Properties
The calculation puts the energy of formation at -3.90 eV per formula unit. As for the spin magnetization: 0.00 μB/f.u. As for the space group: Cmcm, No. 63.

Cell and atoms, written as POSCAR:
```
PmMgGaPt3
1.0
-4.240 1.481 3.507
2.426 -4.385 4.785
2.266 6.653 -0.070
Ga Pt Pm Mg
2 6 2 2
Direct
0.250 0.368 0.736
0.750 0.632 0.264
0.000 0.704 0.000
0.000 0.296 0.000
0.250 0.167 0.335
0.750 0.833 0.665
0.500 0.296 0.000
0.500 0.704 0.000
0.250 0.691 0.382
0.750 0.309 0.618
0.250 0.945 0.890
0.750 0.055 0.110
```

---

[8]
Material: PmMgGa2Pt
Method: DFT, PBE
State: optimized geometry

## Properties
The calculation puts the energy of formation at -3.67 eV per formula unit. As for the spin magnetization: 0.00 μB/f.u. As for the space group: Imm2, No. 44.

Cell and atoms, written as POSCAR:
```
PmMgGa2Pt
1.0
-1.230 -3.805 0.127
3.165 -1.113 -2.708
2.620 1.453 5.896
Mg Ga Pm Pt
1 2 1 1
Direct
0.191 0.691 0.382
0.701 0.201 0.402
0.048 0.048 0.097
0.436 0.436 0.871
0.836 0.836 0.673
```